# DyHo2Ge3Pt4

Crystalline DyHo2Ge3Pt4 at its relaxed geometry (PBE, Alexandria).

Values from the calculation:
Space-group type: P-4m2 (115)
Energy of formation from the pure elements (eV per atom): -0.9321
Theoretical density (g/cm3): 12.4
E_tot (eV per atom): -6.109

Cell: 4.173 4.173 11.487 Å, 90.00 90.00 90.00°
Fractional positions:
Dy1 0.000 0.000 0.000
Ho1 0.000 0.500 0.721
Ho2 0.500 0.000 0.279
Ge1 0.000 0.500 0.372
Ge2 0.500 0.000 0.628
Ge3 0.500 0.500 0.000
Pt1 0.000 0.000 0.500
Pt2 0.000 0.500 0.161
Pt3 0.500 0.000 0.839
Pt4 0.500 0.500 0.500

# Dy2HoGe2Rh5

Crystalline Dy2HoGe2Rh5 at its relaxed geometry (PBE, Alexandria).

Values from the calculation:
Space-group type: P4/mbm (127)
Energy of formation from the pure elements (eV per atom): -0.8690
Theoretical density (g/cm3): 10.5
E_tot (eV per atom): -6.846

Cell: 9.945 9.945 3.664 Å, 90.00 90.00 90.00°
Fractional positions:
Dy1 0.173 0.327 0.000
Dy2 0.327 0.827 0.000
Dy3 0.673 0.173 0.000
Dy4 0.827 0.673 0.000
Ho1 0.000 0.000 0.000
Ho2 0.500 0.500 0.000
Ge1 0.123 0.623 0.000
Ge2 0.377 0.123 0.000
Ge3 0.623 0.877 0.000
Ge4 0.877 0.377 0.000
Rh1 0.000 0.500 0.500
Rh2 0.070 0.784 0.500
Rh3 0.216 0.070 0.500
Rh4 0.284 0.570 0.500
Rh5 0.430 0.284 0.500
Rh6 0.500 0.000 0.500
Rh7 0.570 0.716 0.500
Rh8 0.716 0.430 0.500
Rh9 0.784 0.930 0.500
Rh10 0.930 0.216 0.500

# DyHoGeRu

Crystalline DyHoGeRu at its relaxed geometry (PBE, Alexandria).

Values from the calculation:
Excess energy over the best structure of this formula in the dataset (eV per atom): 0.1463
Space-group type: F-43m (216)
Energy of formation from the pure elements (eV per atom): -0.4871
Theoretical density (g/cm3): 9.9
E_tot (eV per atom): -6.255

Cell: 4.917 4.917 4.917 Å, 60.00 60.00 60.00°
Fractional positions:
Dy1 0.000 0.000 0.000
Ho1 0.500 0.500 0.500
Ge1 0.250 0.250 0.250
Ru1 0.750 0.750 0.750

# DyHoGeRu

Crystalline DyHoGeRu at its relaxed geometry (PBE, Alexandria).

Values from the calculation:
Excess energy over the best structure of this formula in the dataset (eV per atom): 0.0000
Space-group type: Amm2 (38)
Energy of formation from the pure elements (eV per atom): -0.6335
Theoretical density (g/cm3): 9.4
E_tot (eV per atom): -6.402

Cell: 3.854 5.814 5.814 Å, 42.65 90.00 90.00°
Fractional positions:
Dy1 0.000 0.000 0.000
Ho1 0.500 0.718 0.718
Ge1 0.500 0.423 0.423
Ru1 0.000 0.268 0.268

> Among the records above, which one has the lowest theoretical density?

number 4